First-principles (meta-GGA SCAN) data for a PBEsol-optimized structure of BeH3Au, as listed in Alexandria.

extended XYZ file:
```
5
Lattice="3.369 0.000 0.000 0.000 3.369 0.000 0.000 0.000 3.369" Properties=species:S:1:pos:R:3 pbc="T T T"
H 0.000 1.685 0.000
H 0.000 0.000 1.685
H 1.685 0.000 0.000
Be 0.000 0.000 0.000
Au 1.685 1.685 1.685
```

Output
M_tot	0.000	μB/atom
space group	Pm-3m
uncorrected energy	-15.996	eV/atom


First-principles (meta-GGA SCAN) data for a PBEsol-optimized structure of Hf2BeSiAu, as listed in Alexandria.

extended XYZ file:
```
5
Lattice="-3.333 -1.170 -2.683 -1.662 -3.310 3.509 -2.928 3.642 2.048" Properties=species:S:1:pos:R:3 pbc="T T T"
Si -1.666 -0.585 -1.341
Hf -0.831 -1.655 1.754
Hf -1.464 1.821 1.024
Au 0.000 0.000 0.000
Be -3.961 -0.419 1.437
```

Output
uncorrected formation energy	0.963	eV/atom
M_tot	0.000	μB/atom
space group	P4/mmm
uncorrected energy	-40.811	eV/atom


First-principles (meta-GGA SCAN) data for a PBEsol-optimized structure of Hf2TaBeAu, as listed in Alexandria.

extended XYZ file:
```
5
Lattice="-2.147 4.086 1.663 -4.302 -1.397 -2.123 -1.294 -2.388 4.194" Properties=species:S:1:pos:R:3 pbc="T T T"
Au 0.000 0.000 0.000
Hf -0.647 -1.194 2.097
Hf -2.151 -0.698 -1.061
Be -3.872 0.151 1.867
Ta -1.074 2.043 0.832
```

Output
M_tot	0.000	μB/atom
space group	P4/mmm
formation enthalpy at 0 K	1.26	eV per atom
uncorrected energy	-51.824	eV/atom


First-principles (meta-GGA SCAN) data for a PBEsol-optimized structure of BeHg2Au, as listed in Alexandria.

extended XYZ file:
```
4
Lattice="-3.069 -1.978 1.884 2.024 0.257 3.567 -1.300 4.428 -1.949" Properties=species:S:1:pos:R:3 pbc="T T T"
Au -0.523 -0.861 2.725
Be 0.000 0.000 0.000
Hg -2.446 0.795 1.330
Hg 0.100 1.912 2.172
```

Output
M_tot	0.000	μB/atom
space group	I4/mmm
formation enthalpy at 0 K	0.35	eV per atom
uncorrected energy	-52.112	eV/atom


First-principles (meta-GGA SCAN) data for a PBEsol-optimized structure of Be2HgAu, as listed in Alexandria.

extended XYZ file:
```
4
Lattice="4.344 0.000 0.000 2.172 3.762 0.000 2.172 1.254 3.547" Properties=species:S:1:pos:R:3 pbc="T T T"
Au 4.344 2.508 1.774
Hg 6.516 3.762 2.660
Be 0.000 0.000 0.000
Be 2.172 1.254 0.887
```

Output
M_tot	0.000	μB/atom
space group	F-43m
formation enthalpy at 0 K	0.35	eV per atom
uncorrected energy	-36.157	eV/atom


First-principles (meta-GGA SCAN) data for a PBEsol-optimized structure of BeHg3Au, as listed in Alexandria.

extended XYZ file:
```
5
Lattice="-3.877 2.462 2.609 1.444 -2.446 4.453 3.284 3.982 1.122" Properties=species:S:1:pos:R:3 pbc="T T T"
Be 0.425 1.999 4.093
Au 0.000 0.000 0.000
Hg 0.722 -1.223 2.227
Hg 1.642 1.991 0.561
Hg -1.939 1.231 1.305
```

Output
M_tot	0.000	μB/atom
space group	Pm-3m
formation enthalpy at 0 K	0.68	eV per atom
uncorrected energy	-54.925	eV/atom


First-principles (meta-GGA SCAN) data for a PBEsol-optimized structure of Be2HgAu, as listed in Alexandria.

extended XYZ file:
```
8
Lattice="-2.398 -4.764 -1.073 5.126 -0.964 1.547 -2.831 2.509 3.910" Properties=species:S:1:pos:R:3 pbc="T T T"
Be -1.074 1.335 2.647
Be 0.913 -0.986 4.183
Be -0.442 -1.847 1.566
Be 0.398 -4.940 0.374
Hg 0.000 0.000 0.000
Hg 1.938 -2.478 1.601
Au -2.041 -0.741 2.783
Au 1.148 0.772 2.729
```

Output
M_tot	0.000	μB/atom
space group	I-42d
formation enthalpy at 0 K	0.31	eV per atom
uncorrected energy	-36.194	eV/atom


First-principles (meta-GGA SCAN) data for a PBEsol-optimized structure of Be2HgAu2, as listed in Alexandria.

extended XYZ file:
```
5
Lattice="-2.481 1.668 -1.693 -2.158 -2.605 0.596 0.486 3.223 5.950" Properties=species:S:1:pos:R:3 pbc="T T T"
Au -1.378 2.069 4.058
Au -2.776 0.217 0.795
Be -2.157 2.211 1.854
Be -1.996 0.075 2.999
Hg 0.000 0.000 0.000
```

Output
M_tot	0.000	μB/atom
space group	I4/mmm
formation enthalpy at 0 K	-0.18	eV per atom
uncorrected energy	-43.215	eV/atom